4
Lattice="2.721 0.000 0.000 0.000 4.538 0.000 -0.589 0.000 4.604" Properties=species:S:1:pos:R:3 comment="SCAN LiZrCr2, PBEsol geometry" formation_enthalpy_0k_ev_per_atom=0.6353 density_kg_m3=5904 crystal_system=monoclinic dft_energy_ev_per_cell=-67.3 pbc="T T T"
Li 0.000 0.000 0.000
Zr 1.066 0.000 2.302
Cr 0.092 2.269 3.354
Cr 2.041 2.269 1.250